Below is a relaxed KY3Tc crystal, with properties calculated at the GGA-PBE level.

Properties
Its calculated volume is 34.2 Å³/atom. The formation energy comes out at 241 meV per atom. The value obtained for the energy above the most stable polymorph in this dataset is 0 meV/atom.

a b c (Å): 5.548 5.548 5.548
angles (deg): 90.00 90.00 90.00
Positions (direct):
Y 0.000 0.500 0.000
Y 0.000 0.000 0.500
Y 0.500 0.000 0.000
K 0.500 0.500 0.500
Tc 0.000 0.000 0.000

***

Below is a relaxed Y3HPb crystal, with properties calculated at the GGA-PBE level.

Properties
Its calculated volume is 26.0 Å³/atom. The value obtained for the energy above the most stable polymorph in this dataset is 180 meV/atom.

a b c (Å): 14.249 8.895 8.895
angles (deg): 105.84 134.44 45.56
Positions (direct):
Pb 0.334 0.196 0.495
Pb 0.166 0.995 0.696
Pb 0.666 0.804 0.505
Pb 0.834 0.005 0.304
Y 0.671 0.513 0.210
Y 0.829 0.710 0.013
Y 0.329 0.487 0.790
Y 0.171 0.290 0.987
Y 0.679 0.184 0.808
Y 0.821 0.308 0.684
Y 0.321 0.816 0.192
Y 0.179 0.692 0.316
Y 0.002 0.231 0.223
Y 0.498 0.723 0.731
Y 0.998 0.769 0.777
Y 0.502 0.277 0.269
H 0.750 0.137 0.637
H 0.250 0.863 0.363
H 0.750 0.610 0.110
H 0.250 0.390 0.890

***

Below is a relaxed Ba2CaBeSb crystal, with properties calculated at the GGA-PBE level.

Properties
Its calculated volume is 44.0 Å³/atom. The value obtained for the energy relative to the elements, uncorrected is 0.095 eV per atom.

a b c (Å): 6.902 4.619 6.902
angles (deg): 90.00 90.00 90.00
Positions (direct):
Sb 0.000 0.000 0.000
Ca 0.500 0.500 0.500
Ba 0.000 0.000 0.500
Ba 0.500 0.000 0.000
Be 0.000 0.500 0.000

***

Below is a relaxed PmBCl crystal, with properties calculated at the GGA-PBE level.

Properties
Its calculated volume is 23.0 Å³/atom. The value obtained for the energy above the most stable polymorph in this dataset is 121 meV/atom. The value obtained for the energy relative to the elements, uncorrected is -1.065 eV per atom.

a b c (Å): 3.297 3.823 21.938
angles (deg): 90.00 90.00 90.00
Positions (direct):
Cl 0.750 0.999 0.668
Cl 0.250 0.499 0.832
Cl 0.250 0.001 0.332
Cl 0.750 0.501 0.168
B 0.750 0.000 0.490
B 0.250 0.500 0.010
B 0.250 0.000 0.510
B 0.750 0.500 0.990
Pm 0.750 0.499 0.580
Pm 0.250 0.999 0.920
Pm 0.250 0.501 0.420
Pm 0.750 0.001 0.080

***

Below is a relaxed LaPr2Nb crystal, with properties calculated at the GGA-PBE level.

Properties
Its calculated volume is 30.2 Å³/atom. The formation energy comes out at 622 meV per atom.

a b c (Å): 3.376 3.376 12.395
angles (deg): 82.17 82.17 60.00
Positions (direct):
Pr 0.080 0.080 0.761
Pr 0.920 0.920 0.239
Nb 0.000 0.000 0.000
La 0.500 0.500 0.500

***

Below is a relaxed AlRe2Mo crystal, with properties calculated at the GGA-PBE level.

Properties
Its calculated volume is 15.2 Å³/atom. The formation energy comes out at 117 meV per atom.

a b c (Å): 4.797 4.797 2.843
angles (deg): 90.00 90.00 112.10
Positions (direct):
Re 0.000 0.000 0.000
Re 0.500 0.500 0.000
Mo 0.000 0.500 0.500
Al 0.500 0.000 0.500